Entry 1:
Below is a crystal of Cs2PAuS4 relaxed with PBEsol, with properties calculated at the SCAN level.

a b c (Å): 6.898 6.981 20.026
angles (deg): 90.00 90.00 90.00
Sites, in units of the cell vectors:
S 0.118 0.996 0.136
S 0.464 0.750 0.661
S 0.536 0.250 0.339
S 0.705 0.250 0.988
S 0.118 0.496 0.364
S 0.464 0.250 0.839
S 0.295 0.250 0.488
S 0.882 0.496 0.864
S 0.882 0.996 0.636
S 0.705 0.750 0.512
S 0.882 0.504 0.636
S 0.536 0.750 0.161
S 0.295 0.750 0.012
S 0.882 0.004 0.864
S 0.118 0.504 0.136
S 0.118 0.004 0.364
Cs 0.412 0.750 0.834
Cs 0.588 0.250 0.166
Cs 0.794 0.250 0.485
Cs 0.588 0.750 0.334
Cs 0.206 0.750 0.515
Cs 0.206 0.250 0.985
Cs 0.412 0.250 0.666
Cs 0.794 0.750 0.015
Au 0.883 0.500 0.750
Au 0.883 0.000 0.750
Au 0.117 0.000 0.250
Au 0.117 0.500 0.250
P 0.279 0.750 0.113
P 0.721 0.250 0.887
P 0.721 0.750 0.613
P 0.279 0.250 0.387

Output
Formation energy without anion corrections ... -0.95 eV/atom
Symmetry ... Pbcm

---

Entry 2:
Below is a crystal of CsZrP2Au relaxed with PBEsol, with properties calculated at the SCAN level.

a b c (Å): 4.906 4.906 8.011
angles (deg): 90.00 90.00 90.00
Sites, in units of the cell vectors:
P 0.000 0.500 0.000
P 0.500 0.000 0.000
Cs 0.000 0.000 0.500
Au 0.500 0.500 0.500
Zr 0.000 0.000 0.000

Output
ΔH_f (0 K) ... 1.49 eV per formula unit
Symmetry ... P4/mmm

---

Entry 3:
Below is a crystal of Cs3Pb4Au relaxed with PBEsol, with properties calculated at the SCAN level.

a b c (Å): 6.830 7.225 13.844
angles (deg): 90.00 90.00 90.00
Sites, in units of the cell vectors:
Pb 0.333 0.500 0.884
Pb 0.035 0.273 0.000
Pb 0.035 0.727 0.000
Pb 0.667 0.000 0.616
Pb 0.667 0.000 0.384
Pb 0.965 0.227 0.500
Pb 0.333 0.500 0.116
Pb 0.965 0.773 0.500
Cs 0.546 0.000 0.000
Cs 0.826 0.500 0.749
Cs 0.174 0.000 0.249
Cs 0.826 0.500 0.251
Cs 0.454 0.500 0.500
Cs 0.174 0.000 0.751
Au 0.686 0.500 0.000
Au 0.314 0.000 0.500

Output
ΔH_f (0 K) ... -3.46 eV per formula unit
Symmetry ... Pmmn

---

Entry 4:
Below is a crystal of CsSrPd2Au relaxed with PBEsol, with properties calculated at the SCAN level.

a b c (Å): 5.233 5.233 5.394
angles (deg): 90.00 90.00 90.00
Sites, in units of the cell vectors:
Pd 0.500 0.000 0.000
Pd 0.000 0.500 0.000
Sr 0.000 0.000 0.500
Cs 0.500 0.500 0.500
Au 0.000 0.000 0.000

Output
ΔH_f (0 K) ... 0.31 eV per formula unit
Symmetry ... P4/mmm

---

Entry 5:
Below is a crystal of CsRb2Au2 relaxed with PBEsol, with properties calculated at the SCAN level.

a b c (Å): 5.302 5.302 8.083
angles (deg): 109.15 109.15 90.00
Sites, in units of the cell vectors:
Rb 0.750 0.250 0.500
Rb 0.250 0.750 0.500
Au 0.595 0.595 0.190
Au 0.405 0.405 0.810
Cs 0.000 0.000 0.000

Output
ΔH_f (0 K) ... -1.53 eV per formula unit
Symmetry ... I4/mmm
Relative energy among the computed polymorphs ... 0.000 eV per atom

---

Entry 6:
Below is a crystal of Cs2RbAu relaxed with PBEsol, with properties calculated at the SCAN level.

a b c (Å): 7.001 9.394 9.394
angles (deg): 82.02 68.12 68.12
Sites, in units of the cell vectors:
Cs 0.875 0.365 0.135
Cs 0.760 0.865 0.365
Cs 0.375 0.635 0.865
Cs 0.990 0.135 0.635
Rb 0.500 0.000 0.000
Rb 0.250 0.500 0.500
Au 0.000 0.000 0.000
Au 0.750 0.500 0.500

Output
ΔH_f (0 K) ... -0.72 eV per formula unit
Symmetry ... I-42d

---

Entry 7:
Below is a crystal of CsRb2Au2 relaxed with PBEsol, with properties calculated at the SCAN level.

a b c (Å): 3.984 9.702 9.702
angles (deg): 90.00 90.00 90.00
Sites, in units of the cell vectors:
Cs 0.000 0.500 0.500
Cs 0.000 0.000 0.000
Au 0.500 0.170 0.670
Au 0.500 0.330 0.170
Au 0.500 0.670 0.830
Au 0.500 0.830 0.330
Rb 0.000 0.628 0.128
Rb 0.000 0.872 0.628
Rb 0.000 0.128 0.372
Rb 0.000 0.372 0.872

Output
ΔH_f (0 K) ... -1.50 eV per formula unit
Symmetry ... P4/mbm
Relative energy among the computed polymorphs ... 0.006 eV per atom

---

Entry 8:
Below is a crystal of CsRb2Au7 relaxed with PBEsol, with properties calculated at the SCAN level.

a b c (Å): 5.618 7.269 7.181
angles (deg): 90.00 113.03 90.00
Sites, in units of the cell vectors:
Au 0.999 0.000 0.500
Au 0.107 0.193 0.214
Au 0.894 0.193 0.788
Au 0.894 0.807 0.788
Au 0.002 0.500 0.004
Au 0.501 0.000 0.500
Au 0.107 0.807 0.214
Rb 0.500 0.000 0.999
Rb 0.660 0.500 0.321
Cs 0.337 0.500 0.674

Output
ΔH_f (0 K) ... -3.74 eV per formula unit
Symmetry ... Amm2

---

Entry 9:
Below is a crystal of Cs2ReAu relaxed with PBEsol, with properties calculated at the SCAN level.

a b c (Å): 5.859 5.859 5.859
angles (deg): 60.00 60.00 60.00
Site moments in Bohr magnetons follow the coordinates.
Sites, in units of the cell vectors:
Cs 0.250 0.250 0.250  0.02
Cs 0.750 0.750 0.750  0.02
Au 0.500 0.500 0.500  0.04
Re 0.000 0.000 0.000  3.01

Output
ΔH_f (0 K) ... 5.69 eV per formula unit
Symmetry ... Fm-3m

---

Entry 10:
Below is a crystal of Cs2ZrRhAu relaxed with PBEsol, with properties calculated at the SCAN level.

a b c (Å): 4.593 6.753 6.753
angles (deg): 90.00 90.00 90.00
Site moments in Bohr magnetons follow the coordinates.
Sites, in units of the cell vectors:
Cs 0.000 0.000 0.500  0.02
Cs 0.000 0.500 0.000  0.02
Zr 0.000 0.000 0.000  0.63
Rh 0.500 0.000 0.000  -0.14
Au 0.500 0.500 0.500  0.01

Output
ΔH_f (0 K) ... 3.49 eV per formula unit
Symmetry ... P4/mmm

---

Entry 11:
Below is a crystal of Cs3AuS relaxed with PBEsol, with properties calculated at the SCAN level.

a b c (Å): 6.315 6.315 6.315
angles (deg): 90.00 90.00 90.00
Site moments in Bohr magnetons follow the coordinates.
Sites, in units of the cell vectors:
S 0.500 0.500 0.500  0.07
Cs 0.000 0.500 0.000  0.00
Cs 0.500 0.000 0.000  0.00
Cs 0.000 0.000 0.500  0.00
Au 0.000 0.000 0.000  0.00

Output
Formation energy without anion corrections ... -0.47 eV/atom
Symmetry ... Pm-3m

---

Entry 12:
Below is a crystal of CsAuS2 relaxed with PBEsol, with properties calculated at the SCAN level.

a b c (Å): 5.883 5.883 5.765
angles (deg): 59.32 59.32 60.00
Sites, in units of the cell vectors:
S 0.843 0.843 0.471
S 0.157 0.157 0.529
Cs 0.500 0.500 0.500
Au 0.000 0.000 0.000

Output
Formation energy without anion corrections ... -0.30 eV/atom
Symmetry ... R-3m

---

Entry 13:
Below is a crystal of Cs2SnAu2S4 relaxed with PBEsol, with properties calculated at the SCAN level.

a b c (Å): 6.127 7.681 12.496
angles (deg): 84.39 75.81 66.49
Sites, in units of the cell vectors:
Cs 0.818 0.000 0.364
Cs 0.182 0.000 0.636
Cs 0.568 0.500 0.864
Cs 0.932 0.500 0.136
Au 0.436 0.000 0.128
Au 0.186 0.500 0.628
Au 0.564 0.000 0.872
Au 0.314 0.500 0.372
S 0.625 0.207 0.120
S 0.952 0.793 0.880
S 0.168 0.207 0.880
S 0.582 0.293 0.620
S 0.495 0.707 0.380
S 0.255 0.793 0.120
S 0.798 0.707 0.620
S 0.125 0.293 0.380
Sn 0.000 0.000 0.000
Sn 0.750 0.500 0.500

Output
Formation energy without anion corrections ... -0.83 eV/atom
Symmetry ... Fddd

---

Entry 14:
Below is a crystal of CsSb3Au relaxed with PBEsol, with properties calculated at the SCAN level.

a b c (Å): 5.506 5.506 5.506
angles (deg): 90.00 90.00 90.00
Sites, in units of the cell vectors:
Sb 0.000 0.000 0.500
Sb 0.500 0.000 0.000
Sb 0.000 0.500 0.000
Cs 0.500 0.500 0.500
Au 0.000 0.000 0.000

Output
Formation energy without anion corrections ... 0.18 eV/atom
Symmetry ... Pm-3m

---

Entry 15:
Below is a crystal of CsSbAu3 relaxed with PBEsol, with properties calculated at the SCAN level.

a b c (Å): 5.318 5.318 5.318
angles (deg): 90.00 90.00 90.00
Sites, in units of the cell vectors:
Sb 0.000 0.000 0.000
Au 0.000 0.500 0.000
Au 0.500 0.000 0.000
Au 0.000 0.000 0.500
Cs 0.500 0.500 0.500

Output
Formation energy without anion corrections ... -0.26 eV/atom
Symmetry ... Pm-3m

---

Entry 16:
Below is a crystal of CsAuSe relaxed with PBEsol, with properties calculated at the SCAN level.

a b c (Å): 5.587 5.587 6.858
angles (deg): 90.00 90.00 100.76
Sites, in units of the cell vectors:
Au 0.000 0.000 0.000
Au 0.000 0.000 0.500
Se 0.801 0.199 0.250
Se 0.199 0.801 0.750
Cs 0.632 0.368 0.750
Cs 0.368 0.632 0.250

Output
Formation energy without anion corrections ... -0.91 eV/atom
Symmetry ... Cmcm

---

Entry 17:
Below is a crystal of Cs2AuSe2 relaxed with PBEsol, with properties calculated at the SCAN level.

a b c (Å): 7.024 7.163 7.024
angles (deg): 60.64 90.00 119.36
Site moments in Bohr magnetons follow the coordinates.
Sites, in units of the cell vectors:
Cs 0.750 0.500 0.750  0.02
Cs 0.250 0.500 0.250  0.02
Au 0.000 0.000 0.000  0.17
Se 0.228 0.456 0.772  0.24
Se 0.772 0.544 0.228  0.24

Output
Formation energy without anion corrections ... -0.81 eV/atom
Symmetry ... I4/mmm

---

Entry 18:
Below is a crystal of CsSiAu3 relaxed with PBEsol, with properties calculated at the SCAN level.

a b c (Å): 6.736 6.736 7.435
angles (deg): 94.24 117.68 113.92
Sites, in units of the cell vectors:
Au 0.311 0.060 0.999
Au 0.689 0.940 0.001
Au 0.939 0.688 0.999
Au 0.500 0.500 0.000
Au 0.061 0.312 0.001
Au 0.000 0.500 0.500
Si 0.786 0.336 0.122
Si 0.214 0.664 0.878
Cs 0.667 0.828 0.495
Cs 0.333 0.172 0.505

Output
Formation energy without anion corrections ... -0.42 eV/atom
Symmetry ... C2/m

---

Entry 19:
Below is a crystal of Cs2Sn2Au relaxed with PBEsol, with properties calculated at the SCAN level.

a b c (Å): 6.610 6.610 6.610
angles (deg): 106.14 111.16 111.16
Sites, in units of the cell vectors:
Sn 0.000 0.666 0.666
Sn 0.000 0.334 0.334
Cs 0.500 0.250 0.750
Cs 0.500 0.750 0.250
Au 0.000 0.000 0.000

Output
ΔH_f (0 K) ... -0.50 eV per formula unit
Symmetry ... I4/mmm

---

Entry 20:
Below is a crystal of CsSr3Au relaxed with PBEsol, with properties calculated at the SCAN level.

a b c (Å): 6.236 6.236 6.236
angles (deg): 90.00 90.00 90.00
Sites, in units of the cell vectors:
Sr 0.000 0.000 0.500
Sr 0.500 0.000 0.000
Sr 0.000 0.500 0.000
Cs 0.500 0.500 0.500
Au 0.000 0.000 0.000

Output
ΔH_f (0 K) ... -1.73 eV per formula unit
Symmetry ... Pm-3m

---

Result set for energy: -25.1638, -31.3957, -61.1462, -38.8972, -43.8268, -41.5596, -43.8207, -56.7124, -52.5462, -41.1526, -38.9120, -31.8510, -32.8707, -43.5686, -56.7673, -43.2596, -37.7926, -51.4818, -43.4240, -35.1043 eV per atom, one per record in the order listed.